# CaCd2SnHg (PBE, optimized geometry)
# DOS at the Fermi energy   0.60 states/eV/atom
# E   -5.70 eV per cell
# Energy of formation   0.488 eV per atom
# Volume   232.3 Å³/cell
# Symmetry   No. 123
data_CaCd2SnHg
_cell_length_a 6.215
_cell_length_b 6.215
_cell_length_c 6.015
_cell_angle_alpha 90.00
_cell_angle_beta 90.00
_cell_angle_gamma 90.00
_symmetry_space_group_name_H-M 'P 1'
_symmetry_Int_Tables_number 1
loop_
_symmetry_equiv_pos_as_xyz
'x,y,z'
loop_
_atom_site_label
_atom_site_type_symbol
_atom_site_fract_x
_atom_site_fract_y
_atom_site_fract_z
Ca1 Ca 0.000 0.000 0.000
Cd1 Cd 0.000 0.500 0.000
Cd2 Cd 0.500 0.000 0.000
Hg1 Hg 0.500 0.500 0.500
Sn1 Sn 0.000 0.000 0.500